Entry 1:
A plane-wave DFT calculation with GGA-PBE was carried out for a relaxed structure of Sc3Tl4.

Unit cell a=6.0591 b=6.0591 c=5.7269 alpha=90.00 beta=90.00 gamma=120.00
Last column: nearest neighbours and their distance in Å.
Space group P6/mmm (No. 191)
Unique sites:
Sc1 0.0000 0.5000 0.0000 (multiplicity 3)  4 Sc 3.03, 8 Tl 3.35-3.36
Tl1 0.0000 0.0000 0.2495 (multiplicity 2)  2 Tl 2.86-2.87
Tl2 0.3333 0.6667 0.5000 (multiplicity 2)  6 Sc 3.36, 3 Tl 3.50

Calculated values
Its formation energy from the elements is 0.03 eV/atom. The total magnetization is 0.0 μB per cell.

Entry 2:
A plane-wave DFT calculation with GGA-PBE was carried out for a relaxed structure of NaCaScI2.

Unit cell a=5.7666 b=5.7666 c=6.1490 alpha=90.00 beta=90.00 gamma=90.00
Last column: nearest neighbours and their distance in Å.
Space group P4/mmm (No. 123)
Unique sites:
Na1 0.0000 0.0000 0.0000 (multiplicity 1)  4 I 2.88, 2 Sc 3.07
Ca1 0.5000 0.5000 0.5000 (multiplicity 1)  4 Sc 4.08, 8 I 4.21
Sc1 0.0000 0.0000 0.5000 (multiplicity 1)  2 Na 3.07
I1 0.0000 0.5000 0.0000 (multiplicity 2)  2 Na 2.88

Calculated values
The total magnetization is 1.3 μB per cell. The energy is -12.67 eV per cell.

Entry 3:
A plane-wave DFT calculation with GGA-PBE was carried out for a relaxed structure of Y2SnI.

Unit cell a=7.6900 b=7.6900 c=7.6900 alpha=90.00 beta=90.00 gamma=90.00
Last column: nearest neighbours and their distance in Å.
Space group Fm-3m (No. 225)
Unique sites:
Y1 0.2500 0.2500 0.2500 (multiplicity 8)  4 Sn 3.33, 4 I 3.33
Sn1 0.0000 0.0000 0.0000 (multiplicity 4)  8 Y 3.33
I1 0.0000 0.0000 0.5000 (multiplicity 4)  8 Y 3.33

Calculated values
The total magnetization is 2.1 μB per cell. The energy is -83.92 eV per cell.

Entry 4:
A plane-wave DFT calculation with GGA-PBE was carried out for a relaxed structure of CoRu3Au.

Unit cell a=4.4430 b=4.4430 c=4.4430 alpha=90.00 beta=90.00 gamma=90.00
Last column: nearest neighbours and their distance in Å.
Space group Pm-3m (No. 221)
Unique sites:
Co1 0.0000 0.0000 0.0000 (multiplicity 1)  6 Ru 2.22
Ru1 0.0000 0.0000 0.5000 (multiplicity 3)  2 Co 2.22
Au1 0.5000 0.5000 0.5000 (multiplicity 1)  12 Ru 3.14

Calculated values
Its formation energy from the elements is 1.37 eV/atom. The total magnetization is 6.0 μB per cell.

Entry 5:
A plane-wave DFT calculation with GGA-PBE was carried out for a relaxed structure of KScAsBr2.

Unit cell a=5.4553 b=5.4553 c=5.2812 alpha=90.00 beta=90.00 gamma=90.00
Last column: nearest neighbours and their distance in Å.
Space group P4/mmm (No. 123)
Unique sites:
K1 0.0000 0.0000 0.0000 (multiplicity 1)  8 Br 3.80, 4 As 3.86
Sc1 0.5000 0.5000 0.5000 (multiplicity 1)  2 As 2.64, 4 Br 2.73
As1 0.5000 0.5000 0.0000 (multiplicity 1)  2 Sc 2.64
Br1 0.0000 0.5000 0.5000 (multiplicity 2)  2 Sc 2.73

Calculated values
The total magnetization is 1.0 μB per cell. The energy is -20.84 eV per cell.

Entry 6:
A plane-wave DFT calculation with GGA-PBE was carried out for a relaxed structure of CsZr2Pd.

Unit cell a=5.1034 b=5.1034 c=19.2889 alpha=90.00 beta=90.00 gamma=90.00
Last column: nearest neighbours and their distance in Å.
Space group I-42d (No. 122)
Unique sites:
Cs1 0.0000 0.0000 0.0000 (multiplicity 4)  4 Zr 3.37, 4 Pd 3.61
Zr1 0.1122 0.2500 0.6250 (multiplicity 8)  2 Pd 2.79, 2 Zr 2.80
Pd1 0.0000 0.0000 0.5000 (multiplicity 4)  4 Zr 2.79

Calculated values
Its formation energy from the elements is 0.94 eV/atom. The total magnetization is 0.0 μB per cell.

Entry 7:
A plane-wave DFT calculation with GGA-PBE was carried out for a relaxed structure of Li2SmHoS4.

Unit cell a=6.5906 b=3.9515 c=6.8443 alpha=90.00 beta=110.23 gamma=90.00
Last column: nearest neighbours and their distance in Å.
Space group P2/m (No. 10)
Unique sites:
Li1 0.0000 0.0000 0.0000 (multiplicity 1)  6 S 2.72-2.73
Li2 0.0000 0.5000 0.5000 (multiplicity 1)  6 S 2.77-2.78
Sm1 0.5000 0.0000 0.5000 (multiplicity 1)  6 S 2.79
Ho1 0.5000 0.5000 0.0000 (multiplicity 1)  6 S 2.73-2.74
S1 0.2466 0.5000 0.2429 (multiplicity 2)  3 Li 2.73-2.78, 1 Ho 2.73, 2 Sm 2.79
S2 0.2493 0.0000 0.7556 (multiplicity 2)  3 Li 2.72-2.77, 2 Ho 2.74, 1 Sm 2.79

Calculated values
The total magnetization is 0.0 μB per cell. The energy is -44.25 eV per cell.

Entry 8:
A plane-wave DFT calculation with GGA-PBE was carried out for a relaxed structure of Pr2CdNi.

Unit cell a=3.6031 b=3.6031 c=7.8658 alpha=90.00 beta=90.00 gamma=90.00
Last column: nearest neighbours and their distance in Å.
Space group P4/mmm (No. 123)
Unique sites:
Pr1 0.0000 0.0000 0.2146 (multiplicity 2)  4 Ni 3.06, 1 Pr 3.38, 4 Cd 3.40
Cd1 0.5000 0.5000 0.5000 (multiplicity 1)  8 Pr 3.40, 4 Cd 3.60
Ni1 0.5000 0.5000 0.0000 (multiplicity 1)  8 Pr 3.06

Calculated values
Its formation energy from the elements is -0.25 eV/atom. The total magnetization is 0.0 μB per cell.

Number 4 is which compound? CoRu3Au

What did the third record say?
A plane-wave DFT calculation with GGA-PBE was carried out for a relaxed structure of Y2SnI.

Unit cell a=7.6900 b=7.6900 c=7.6900 alpha=90.00 beta=90.00 gamma=90.00
Last column: nearest neighbours and their distance in Å.
Space group Fm-3m (No. 225)
Unique sites:
Y1 0.2500 0.2500 0.2500 (multiplicity 8)  4 Sn 3.33, 4 I 3.33
Sn1 0.0000 0.0000 0.0000 (multiplicity 4)  8 Y 3.33
I1 0.0000 0.0000 0.5000 (multiplicity 4)  8 Y 3.33

Calculated values
The total magnetization is 2.1 μB per cell. The energy is -83.92 eV per cell.